A:
A plane-wave DFT calculation with GGA-PBE was carried out for an optimized crystal structure of NpScPb2.

Cell and atoms, written as POSCAR:
```
NpScPb2
1.0
-1.754 0.983 -2.724
0.733 -2.930 -1.529
-7.481 -3.691 3.486
Pb Sc Np
2 1 1
direct
0.000 0.000 0.236
0.000 0.000 0.764
0.500 0.500 0.000
0.500 0.500 0.500
```

Results
**Magnetization**: 5.3 μB/cell

B:
A plane-wave DFT calculation with GGA-PBE was carried out for an optimized crystal structure of NpScPb2.

Cell and atoms, written as POSCAR:
```
NpScPb2
1.0
-2.232 1.734 -3.443
-3.478 -3.349 0.567
-2.367 2.972 3.032
Sc Pb Np
1 2 1
direct
0.500 0.500 0.500
0.000 0.500 0.000
0.000 0.000 0.500
0.500 0.000 0.000
```

Results
**Magnetization**: 5.3 μB/cell

Relative energies in kJ/mol of atoms: A 0.0; B 5.6

A:
A plane-wave DFT calculation with GGA-PBE was carried out for an optimized crystal structure of NpSnPb2.

Cell and atoms, written as POSCAR:
```
NpSnPb2
1.0
-3.589 -1.019 1.747
-0.130 -3.435 -2.270
3.251 -3.273 4.768
Np Pb Sn
1 2 1
direct
0.500 0.500 0.500
0.000 0.000 0.243
0.000 0.000 0.757
0.500 0.500 0.000
```

Results
**Magnetization**: 4.7 μB/cell

B:
A plane-wave DFT calculation with GGA-PBE was carried out for an optimized crystal structure of NpSnPb2.

Cell and atoms, written as POSCAR:
```
NpSnPb2
1.0
4.813 0.000 0.000
0.000 4.767 0.000
0.000 0.000 4.767
Pb Np Sn
2 1 1
direct
0.000 0.500 0.000
0.000 0.000 0.500
0.500 0.000 0.000
0.500 0.500 0.500
```

Results
**Magnetization**: 4.3 μB/cell

C:
A plane-wave DFT calculation with GGA-PBE was carried out for an optimized crystal structure of NpSnPb2.

Cell and atoms, written as POSCAR:
```
NpSnPb2
1.0
3.309 0.000 0.000
1.655 2.866 0.000
1.655 0.955 12.039
Pb Np Sn
2 1 1
direct
0.088 0.088 0.737
0.912 0.912 0.263
0.500 0.500 0.500
0.000 0.000 0.000
```

Results
**Magnetization**: 4.2 μB/cell

Relative energies in kJ/mol of atoms: A 16.3; B 0.0; C 20.2

A:
A plane-wave DFT calculation with GGA-PBE was carried out for an optimized crystal structure of NpSnPb.

Cell and atoms, written as POSCAR:
```
NpSnPb
1.0
-1.534 2.644 -0.239
-4.795 -2.763 0.220
2.375 1.801 4.669
Np Sn Pb
1 1 1
direct
0.000 0.000 0.000
0.501 0.667 0.333
0.499 0.333 0.667
```

Results
**Magnetization**: 4.7 μB/cell

B:
A plane-wave DFT calculation with GGA-PBE was carried out for an optimized crystal structure of NpSnPb.

Cell and atoms, written as POSCAR:
```
NpSnPb
1.0
-1.587 2.876 -1.833
-3.379 -1.601 0.413
1.768 2.162 5.722
Sn Np Pb
1 1 1
direct
0.943 0.943 0.886
0.612 0.612 0.223
0.295 0.295 0.591
```

Results
**Magnetization**: 5.2 μB/cell

C:
A plane-wave DFT calculation with GGA-PBE was carried out for an optimized crystal structure of NpSnPb.

Cell and atoms, written as POSCAR:
```
NpSnPb
1.0
-4.580 -3.949 3.854
6.917 1.484 1.173
-3.656 8.931 2.419
Sn Np Pb
4 4 4
direct
0.625 0.875 0.750
0.125 0.375 0.250
0.125 0.875 0.750
0.125 0.875 0.250
0.522 0.022 0.045
0.728 0.728 0.455
0.272 0.272 0.545
0.978 0.478 0.955
0.259 0.259 0.000
0.509 0.009 0.500
0.991 0.491 0.500
0.741 0.741 0.000
```

Results
**Magnetization**: 18.7 μB/cell

Relative energies in kJ/mol of atoms: A 0.0; B 1.9; C 24.8

A:
A plane-wave DFT calculation with GGA-PBE was carried out for an optimized crystal structure of NpTi2Pb.

Cell and atoms, written as POSCAR:
```
NpTi2Pb
1.0
3.191 0.000 0.000
1.596 2.764 0.000
1.596 0.921 9.502
Ti Np Pb
2 1 1
direct
0.253 0.253 0.242
0.747 0.747 0.758
0.000 0.000 0.000
0.500 0.500 0.500
```

Results
**Magnetization**: 3.9 μB/cell

B:
A plane-wave DFT calculation with GGA-PBE was carried out for an optimized crystal structure of NpTi2Pb.

Cell and atoms, written as POSCAR:
```
NpTi2Pb
1.0
4.876 0.000 0.000
2.438 4.223 0.000
2.438 1.408 3.982
Np Pb Ti
1 1 2
direct
0.000 0.000 0.000
0.500 0.500 0.500
0.250 0.250 0.250
0.750 0.750 0.750
```

Results
**Magnetization**: 5.9 μB/cell

C:
A plane-wave DFT calculation with GGA-PBE was carried out for an optimized crystal structure of NpTi2Pb.

Cell and atoms, written as POSCAR:
```
NpTi2Pb
1.0
-2.423 1.165 -2.166
-2.379 -0.340 2.479
1.200 6.229 2.007
Pb Ti Np
1 2 1
direct
0.500 0.500 0.500
0.000 0.000 0.226
0.000 0.000 0.774
0.500 0.500 0.000
```

Results
**Magnetization**: 3.4 μB/cell

D:
A plane-wave DFT calculation with GGA-PBE was carried out for an optimized crystal structure of NpTi2Pb.

Cell and atoms, written as POSCAR:
```
NpTi2Pb
1.0
-1.769 0.618 3.241
3.546 -1.933 2.304
2.054 4.158 0.327
Ti Pb Np
2 1 1
direct
0.000 0.000 0.500
0.000 0.500 0.000
0.500 0.000 0.000
0.500 0.500 0.500
```

Results
**Magnetization**: 4.8 μB/cell

Relative energies in kJ/mol of atoms: A 13.6; B 7.2; C 4.7; D 0.0

A:
A plane-wave DFT calculation with GGA-PBE was carried out for an optimized crystal structure of NpPd3.

Cell and atoms, written as POSCAR:
```
NpPd3
1.0
-1.663 -3.579 2.529
-2.666 -3.271 -2.039
1.689 -4.322 -0.662
Pd Np
3 1
direct
0.000 0.000 0.000
0.250 0.250 0.250
0.750 0.750 0.750
0.500 0.500 0.500
```

Results
**Magnetization**: 3.9 μB/cell

B:
A plane-wave DFT calculation with GGA-PBE was carried out for an optimized crystal structure of NpPd3.

Cell and atoms, written as POSCAR:
```
NpPd3
1.0
-3.150 -2.581 -0.806
-0.562 -0.585 4.071
-0.790 4.783 -1.538
Np Pd
1 3
direct
0.000 0.000 0.000
0.750 0.250 0.500
0.500 0.500 0.000
0.250 0.750 0.500
```

Results
**Magnetization**: 3.3 μB/cell

Relative energies in kJ/mol of atoms: A 7.4; B 0.0

A:
A plane-wave DFT calculation with GGA-PBE was carried out for an optimized crystal structure of NpPd8Pt2.

Cell and atoms, written as POSCAR:
```
NpPd8Pt2
1.0
4.907 0.641 0.533
0.714 7.260 2.476
0.714 3.762 6.685
Pd Pt Np
8 2 1
direct
0.135 0.325 0.325
0.749 0.500 0.500
0.251 0.500 0.500
0.390 0.394 0.904
0.390 0.904 0.394
0.610 0.606 0.096
0.865 0.675 0.675
0.610 0.096 0.606
0.858 0.181 0.181
0.142 0.819 0.819
0.000 0.000 0.000
```

Results
**Magnetization**: 2.0 μB/cell

B:
A plane-wave DFT calculation with GGA-PBE was carried out for an optimized crystal structure of NpPd8Pt2.

Cell and atoms, written as POSCAR:
```
NpPd8Pt2
1.0
4.386 0.249 -0.160
-0.436 6.320 -2.070
0.214 0.458 6.646
Pd Pt Np
8 2 1
direct
0.000 0.304 0.035
0.000 0.696 0.965
0.500 0.755 0.245
0.500 0.245 0.755
0.000 0.035 0.304
0.500 0.670 0.670
0.500 0.330 0.330
0.000 0.965 0.696
0.000 0.622 0.378
0.000 0.378 0.622
0.500 0.000 0.000
```

Results
**Magnetization**: 1.8 μB/cell

Relative energies in kJ/mol of atoms: A 0.0; B 2.8